# P4PtPb

A relaxed structure of P4PtPb (PBE, Alexandria).

V = 121.0 Å³/cell
Space group = F-43m (216)
Electronic total energy = -0.3464 Ry per atom

Structure (extended XYZ):
```
6
Lattice="0.000 3.926 3.926 3.926 0.000 3.926 3.926 3.926 0.000" Properties=species:S:1:pos:R:3 pbc="T T T"
P 0.793 0.793 0.793
P 3.132 3.132 0.793
P 3.132 0.793 3.132
P 0.793 3.132 3.132
Pt 5.888 5.888 5.888
Pb 3.926 3.926 3.926
```



# PPt3Pb

A relaxed structure of PPt3Pb (PBE, Alexandria).

V = 127.7 Å³/cell
Space group = Pm-3m (221)
Energy above the most stable polymorph in this dataset = 1887 meV per atom
Electronic total energy = -0.2865 Ry per atom

Structure (extended XYZ):
```
5
Lattice="5.035 0.000 0.000 0.000 5.035 0.000 0.000 0.000 5.035" Properties=species:S:1:pos:R:3 pbc="T T T"
P 0.000 0.000 0.000
Pt 0.000 2.518 2.518
Pt 2.518 0.000 2.518
Pt 2.518 2.518 0.000
Pb 2.518 2.518 2.518
```



# RbP2Pt4Pb

A relaxed structure of RbP2Pt4Pb (PBE, Alexandria).

V = 179.6 Å³/cell
Space group = P4/mmm (123)
Electronic total energy = -0.3982 Ry per atom

Structure (extended XYZ):
```
8
Lattice="4.020 0.000 0.000 0.000 4.020 0.000 0.000 0.000 11.116" Properties=species:S:1:pos:R:3 pbc="T T T"
Rb 0.000 0.000 0.000
P 2.010 2.010 2.146
P 2.010 2.010 8.970
Pt 0.000 2.010 3.338
Pt 0.000 2.010 7.778
Pt 2.010 0.000 3.338
Pt 2.010 0.000 7.778
Pb 0.000 0.000 5.558
```



Please write out number 2 again, unchanged.
# PPt3Pb

A relaxed structure of PPt3Pb (PBE, Alexandria).

V = 127.7 Å³/cell
Space group = Pm-3m (221)
Energy above the most stable polymorph in this dataset = 1887 meV per atom
Electronic total energy = -0.2865 Ry per atom

Structure (extended XYZ):
```
5
Lattice="5.035 0.000 0.000 0.000 5.035 0.000 0.000 0.000 5.035" Properties=species:S:1:pos:R:3 pbc="T T T"
P 0.000 0.000 0.000
Pt 0.000 2.518 2.518
Pt 2.518 0.000 2.518
Pt 2.518 2.518 0.000
Pb 2.518 2.518 2.518
```



Look up the V of the third one. 179.6 Å³/cell